1.
Compound: CsTl3F
Source: the Alexandria database
Functional: SCAN
Structure: single point on PBEsol structure Values from VASP.

```
&SYSTEM
  ibrav = 0, nat = 5, ntyp = 3
/
ATOMIC_SPECIES
Cs 132.91 Cs.upf
Tl 204.38 Tl.upf
F 19.00 F.upf
CELL_PARAMETERS angstrom
-0.9650 -6.5582 -0.5846
5.4843 -0.4737 -3.7392
3.6434 -1.0240 5.4736
ATOMIC_POSITIONS crystal
Cs 0.0000 0.0000 0.0000
Tl 0.0000 0.0000 0.5000
F 0.5000 0.5000 0.5000
Tl 0.5000 0.0000 0.0000
Tl 0.0000 0.5000 0.0000
```

Size of the total moment, μB/f.u.: 0.0
DFT total energy, eV per cell: -255.76
Symmetry: Pm-3m (221)
Uncorrected formation energy, eV per atom: 0.532

***

2.
Compound: Cs3VF6
Source: the Alexandria database
Functional: SCAN
Structure: single point on PBEsol structure Values from VASP.

```
&SYSTEM
  ibrav = 0, nat = 10, ntyp = 3
/
ATOMIC_SPECIES
F 19.00 F.upf
Cs 132.91 Cs.upf
V 50.94 V.upf
CELL_PARAMETERS angstrom
-0.2008 6.0208 -2.7906
-0.1686 0.5909 -6.6106
-5.5411 2.0823 -3.0064
ATOMIC_POSITIONS crystal
F 0.7936 0.2064 0.7936
Cs 0.5000 0.5000 0.5000
F 0.2064 0.2064 0.7936
F 0.7936 0.2064 0.2064
F 0.2064 0.7936 0.7936
Cs 0.7500 0.7500 0.7500
F 0.7936 0.7936 0.2064
F 0.2064 0.7936 0.2064
V 0.0000 0.0000 0.0000
Cs 0.2500 0.2500 0.2500
```

Size of the total moment, μB/f.u.: 2.0
DFT total energy, eV per cell: -183.17
Symmetry: Fm-3m (225)
Uncorrected formation energy, eV per atom: -3.101

***

3.
Compound: CsVF4
Source: the Alexandria database
Functional: SCAN
Structure: single point on PBEsol structure Values from VASP.

```
&SYSTEM
  ibrav = 0, nat = 24, ntyp = 3
/
ATOMIC_SPECIES
V 50.94 V.upf
F 19.00 F.upf
Cs 132.91 Cs.upf
CELL_PARAMETERS angstrom
6.5906 0.0000 0.0000
0.0000 7.6469 0.0000
0.0000 0.0000 7.6406
ATOMIC_POSITIONS crystal
V 0.0000 0.7500 0.2500
F 0.0239 0.2997 0.0000
F 0.2865 0.7413 0.2689
V 0.0000 0.7500 0.7500
F 0.9761 0.7997 0.5000
F 0.2865 0.2587 0.7311
V 0.0000 0.2500 0.2500
F 0.0239 0.7003 0.0000
F 0.2865 0.2587 0.2689
Cs 0.5142 0.0000 0.5000
F 0.7135 0.7587 0.2311
F 0.2865 0.7413 0.7311
F 0.7135 0.7587 0.7689
Cs 0.5346 0.5000 0.5000
F 0.9819 0.5000 0.2993
F 0.7135 0.2413 0.2311
F 0.0181 0.0000 0.2007
Cs 0.4654 0.0000 0.0000
Cs 0.4858 0.5000 0.0000
F 0.0181 0.0000 0.7993
V 0.0000 0.2500 0.7500
F 0.9761 0.2003 0.5000
F 0.7135 0.2413 0.7689
F 0.9819 0.5000 0.7007
```

Size of the total moment, μB/f.u.: 2.0
DFT total energy, eV per cell: -355.39
Symmetry: Pmmn (59)
Uncorrected formation energy, eV per atom: -3.231

***

4.
Compound: CsWF7
Source: the Alexandria database
Functional: SCAN
Structure: single point on PBEsol structure Values from VASP.

```
&SYSTEM
  ibrav = 0, nat = 72, ntyp = 3
/
ATOMIC_SPECIES
F 19.00 F.upf
Cs 132.91 Cs.upf
W 183.84 W.upf
CELL_PARAMETERS angstrom
-0.1185 -10.5833 -0.5806
5.9025 -0.5481 8.7874
-8.8037 -0.2250 5.8994
ATOMIC_POSITIONS crystal
F 0.5685 0.1335 0.2433
F 0.2283 0.6147 0.3560
F 0.7283 0.8853 0.6440
F 0.8665 0.7433 0.9315
F 0.2567 0.4315 0.6335
F 0.1440 0.7717 0.1147
Cs 0.0000 0.0000 0.0000
F 0.7283 0.6147 0.1440
F 0.7567 0.4315 0.8665
F 0.2717 0.3853 0.8560
F 0.8665 0.7567 0.4315
F 0.4315 0.6335 0.2567
F 0.1147 0.3560 0.2717
F 0.1440 0.7283 0.6147
Cs 0.5000 0.0000 0.5000
F 0.3665 0.7567 0.0685
F 0.2433 0.5685 0.1335
F 0.6335 0.2433 0.9315
F 0.3853 0.8560 0.2717
W 0.7774 0.7226 0.2774
F 0.8560 0.2283 0.8853
W 0.7226 0.2774 0.7774
F 0.0685 0.3665 0.7567
F 0.6147 0.1440 0.7283
F 0.3260 0.1740 0.8260
W 0.2774 0.7226 0.2226
W 0.2226 0.2226 0.2226
F 0.6440 0.7283 0.8853
F 0.6335 0.2567 0.4315
F 0.3260 0.3260 0.3260
F 0.9315 0.6335 0.2433
F 0.1335 0.2433 0.5685
F 0.3560 0.2717 0.1147
F 0.9315 0.8665 0.7433
F 0.3560 0.2283 0.6147
F 0.2283 0.8853 0.8560
Cs 0.0000 0.0000 0.5000
F 0.0685 0.1335 0.2567
F 0.2433 0.9315 0.6335
F 0.6740 0.8260 0.1740
F 0.4315 0.8665 0.7567
Cs 0.5000 0.5000 0.5000
Cs 0.0000 0.5000 0.5000
F 0.1740 0.6740 0.8260
F 0.8260 0.3260 0.1740
W 0.2774 0.7774 0.7226
F 0.6740 0.6740 0.6740
F 0.7717 0.1147 0.1440
F 0.7433 0.9315 0.8665
F 0.5685 0.3665 0.7433
F 0.7433 0.5685 0.3665
F 0.6440 0.7717 0.3853
Cs 0.0000 0.5000 0.0000
W 0.2226 0.2774 0.7226
F 0.1335 0.2567 0.0685
Cs 0.5000 0.5000 0.0000
F 0.3853 0.6440 0.7717
F 0.7567 0.0685 0.3665
F 0.8260 0.1740 0.6740
F 0.8853 0.6440 0.7283
F 0.2717 0.1147 0.3560
F 0.1147 0.1440 0.7717
F 0.8560 0.2717 0.3853
Cs 0.5000 0.0000 0.0000
F 0.1740 0.8260 0.3260
W 0.7774 0.7774 0.7774
F 0.7717 0.3853 0.6440
F 0.6147 0.3560 0.2283
F 0.2567 0.0685 0.1335
W 0.7226 0.2226 0.2774
F 0.8853 0.8560 0.2283
F 0.3665 0.7433 0.5685
```

Size of the total moment, μB/f.u.: 0.2
DFT total energy, eV per cell: -1265.96
Symmetry: Pa-3 (205)
Uncorrected formation energy, eV per atom: -2.885

***

5.
Compound: CsY2F
Source: the Alexandria database
Functional: SCAN
Structure: single point on PBEsol structure Values from VASP.

```
&SYSTEM
  ibrav = 0, nat = 4, ntyp = 3
/
ATOMIC_SPECIES
Y 88.91 Y.upf
Cs 132.91 Cs.upf
F 19.00 F.upf
CELL_PARAMETERS angstrom
-3.3816 2.0212 3.4223
-1.2417 -2.6532 4.3187
1.6764 1.6600 4.6547
ATOMIC_POSITIONS crystal
Y 0.7500 0.7500 0.7500
Cs 0.5000 0.5000 0.5000
Y 0.2500 0.2500 0.2500
F 0.0000 0.0000 0.0000
```

Size of the total moment, μB/f.u.: 0.0
DFT total energy, eV per cell: -95.85
Symmetry: Fm-3m (225)
Uncorrected formation energy, eV per atom: 0.297

***

6.
Compound: CsZn2F
Source: the Alexandria database
Functional: SCAN
Structure: single point on PBEsol structure Values from VASP.

```
&SYSTEM
  ibrav = 0, nat = 4, ntyp = 3
/
ATOMIC_SPECIES
Zn 65.41 Zn.upf
Cs 132.91 Cs.upf
F 19.00 F.upf
CELL_PARAMETERS angstrom
5.4616 0.0000 0.0000
2.7308 4.7298 0.0000
2.7308 1.5766 4.4593
ATOMIC_POSITIONS crystal
Zn 0.2500 0.2500 0.2500
Zn 0.7500 0.7500 0.7500
Cs 0.5000 0.5000 0.5000
F 0.0000 0.0000 0.0000
```

Size of the total moment, μB/f.u.: 0.0
DFT total energy, eV per cell: -69.82
Symmetry: Fm-3m (225)
Uncorrected formation energy, eV per atom: -0.359

***

7.
Compound: CsZn2F2
Source: the Alexandria database
Functional: SCAN
Structure: single point on PBEsol structure Values from VASP.

```
&SYSTEM
  ibrav = 0, nat = 5, ntyp = 3
/
ATOMIC_SPECIES
F 19.00 F.upf
Zn 65.41 Zn.upf
Cs 132.91 Cs.upf
CELL_PARAMETERS angstrom
4.5249 0.0000 0.0000
0.0000 4.5249 0.0000
-2.2625 -2.2625 4.5906
ATOMIC_POSITIONS crystal
F 0.7500 0.2500 0.5000
F 0.2500 0.7500 0.5000
Zn 0.3581 0.3581 0.7162
Zn 0.6419 0.6419 0.2838
Cs 0.0000 0.0000 0.0000
```

Size of the total moment, μB/f.u.: 0.0
DFT total energy, eV per cell: -78.39
Symmetry: I4/mmm (139)
Uncorrected formation energy, eV per atom: -1.295

***

8.
Compound: Cs3ZrF
Source: the Alexandria database
Functional: SCAN
Structure: single point on PBEsol structure Values from VASP.

```
&SYSTEM
  ibrav = 0, nat = 5, ntyp = 3
/
ATOMIC_SPECIES
Cs 132.91 Cs.upf
F 19.00 F.upf
Zr 91.22 Zr.upf
CELL_PARAMETERS angstrom
-2.6187 -1.7070 5.0310
2.0879 -5.4884 -0.7754
4.8853 1.4306 3.0282
ATOMIC_POSITIONS crystal
Cs 0.0000 0.0000 0.5000
Cs 0.5000 0.0000 0.0000
F 0.0000 0.0000 0.0000
Zr 0.5000 0.5000 0.5000
Cs 0.0000 0.5000 0.0000
```

Size of the total moment, μB/f.u.: 4.0
DFT total energy, eV per cell: -149.42
Symmetry: Pm-3m (221)
Uncorrected formation energy, eV per atom: -0.350

***

9.
Compound: CsK2GaFe
Source: the Alexandria database
Functional: SCAN
Structure: single point on PBEsol structure Values from VASP.

```
&SYSTEM
  ibrav = 0, nat = 5, ntyp = 4
/
ATOMIC_SPECIES
Fe 55.84 Fe.upf
Cs 132.91 Cs.upf
K 39.10 K.upf
Ga 69.72 Ga.upf
CELL_PARAMETERS angstrom
-4.7866 -0.2132 -0.2819
0.4642 -4.5450 -4.4457
-0.0695 -4.4609 4.5533
ATOMIC_POSITIONS crystal
Fe 0.0000 0.0000 0.0000
Cs 0.5000 0.5000 0.5000
K 0.0000 0.5000 0.0000
K 0.0000 0.0000 0.5000
Ga 0.5000 0.0000 0.0000
```

Size of the total moment, μB/f.u.: 2.4
DFT total energy, eV per cell: -87.05
Symmetry: P4/mmm (123)

***

10.
Compound: Cs2GaFeS4
Source: the Alexandria database
Functional: SCAN
Structure: single point on PBEsol structure Values from VASP.

```
&SYSTEM
  ibrav = 0, nat = 8, ntyp = 4
/
ATOMIC_SPECIES
S 32.06 S.upf
Fe 55.84 Fe.upf
Cs 132.91 Cs.upf
Ga 69.72 Ga.upf
CELL_PARAMETERS angstrom
5.6627 -0.0009 -0.0016
-1.3888 6.9483 0.0108
-1.3888 -3.5860 5.9514
ATOMIC_POSITIONS crystal
S 0.1563 0.4178 0.2123
Fe 0.5000 0.5029 0.4971
Cs 0.5000 0.1444 0.8556
S 0.3484 0.5833 0.7888
Ga 0.0000 0.4967 0.5033
S 0.6516 0.2112 0.4167
S 0.8437 0.7877 0.5822
Cs 0.0000 0.8559 0.1441
```

Size of the total moment, μB/f.u.: 5.0
DFT total energy, eV per cell: -157.46
Symmetry: C2 (5)
Uncorrected formation energy, eV per atom: -1.106

***

11.
Compound: CsHf3Fe
Source: the Alexandria database
Functional: SCAN
Structure: single point on PBEsol structure Values from VASP.

```
&SYSTEM
  ibrav = 0, nat = 5, ntyp = 3
/
ATOMIC_SPECIES
Hf 178.49 Hf.upf
Fe 55.84 Fe.upf
Cs 132.91 Cs.upf
CELL_PARAMETERS angstrom
5.1145 0.0000 0.0000
0.0000 5.1145 0.0000
0.0000 0.0000 5.1145
ATOMIC_POSITIONS crystal
Hf 0.0000 0.0000 0.5000
Fe 0.5000 0.5000 0.5000
Cs 0.0000 0.0000 0.0000
Hf 0.5000 0.0000 0.0000
Hf 0.0000 0.5000 0.0000
```

Size of the total moment, μB/f.u.: 2.8
DFT total energy, eV per cell: -230.35
Symmetry: Pm-3m (221)